Here is a relaxed structure of ThPbAu4 from Alexandria via LeMat-Bulk. Energies are from PBE.

Calculated values
Its formation energy is -7.6 kcal/mol of atoms. The total magnetization comes out at 0.0 μB/f.u. The calculated volume comes out at 22.13 A^3/atom. The calculation puts the offset from the most stable computed form at 0.00 kcal/mol of atoms. The total energy comes out at -26.2 eV/cell.

Cell lengths 5.7266, 5.7266, 5.7266 Å; angles 60.00, 60.00, 60.00 degrees
Last column: nearest neighbours and their distance in Å.
Fractional positions:
Th: 0.0000 0.0000 0.0000  12 Au 3.36, 4 Pb 3.51
Pb: 0.7500 0.7500 0.7500  12 Au 3.36, 4 Th 3.51
Au: 0.3749 0.3749 0.3749  6 Au 2.86-2.87
Au: 0.3749 0.3749 0.8754  6 Au 2.86-2.87
Au: 0.3749 0.8754 0.3749  6 Au 2.86-2.87
Au: 0.8754 0.3749 0.3749  6 Au 2.86-2.87